# Pr3HoCd8, relaxed, DFT PBE-GGA
# ΔE_f = -6.69 kcal/mol of atoms
# ρ = 8.090 Mg/m³
# Crystal system = trigonal
data_Pr3HoCd8
_space_group_name_H-M_alt 'R 3 m'
_space_group_IT_number 160
_space_group_name_Hall 'R 3 -2"'
_cell_length_a 6.0084
_cell_length_b 6.0084
_cell_length_c 29.2865
_cell_angle_alpha 90.00
_cell_angle_beta 90.00
_cell_angle_gamma 120.00
loop_
_atom_site_label
_atom_site_fract_x
_atom_site_fract_y
_atom_site_fract_z
Pr1 0.0000 0.0000 0.0000
Pr2 0.0000 0.0000 0.1246
Pr3 0.0000 0.0000 0.6242
Ho1 0.0000 0.0000 0.5000
Cd1 0.0000 0.0000 0.3123
Cd2 0.0000 0.0000 0.8122
Cd3 0.0013 0.5006 0.0630
Cd4 0.1671 0.3343 0.8948